A plane-wave DFT calculation with PBEsol was carried out for a geometry-optimized Cu3SnSe structure.

For the uncorrected formation energy, the calculation gives 0.486 eV/atom. The calculation puts the density of states at the Fermi level at 2.9 states/eV per cell. The calculation puts the uncorrected energy at -18.68 eV per cell.

Cell lengths 4.563, 4.563, 4.563 Å; angles 90.00, 90.00, 90.00 degrees
Sites, in units of the cell vectors:
Cu (0.000, 0.500, 0.000)
Cu (0.000, 0.000, 0.500)
Cu (0.500, 0.000, 0.000)
Sn (0.500, 0.500, 0.500)
Se (0.000, 0.000, 0.000)